8
Lattice="5.3405 0.0000 0.0000 0.0000 5.3405 0.0000 0.0000 0.0000 8.1746" Properties=species:S:1:pos:R:3 comment="KInAgBi, relaxed, DFT PBE" relative_energy_ev_per_atom=0.000 spacegroup="P4/nmm, No. 129" e_form_ev_per_atom=-0.02 pbc="T T T"
K 1.3351 1.3351 1.9320
K 4.0054 4.0054 6.2425
In 1.3351 4.0054 4.0873
In 4.0054 1.3351 4.0873
Ag 1.3351 4.0054 0.0000
Ag 4.0054 1.3351 0.0000
Bi 1.3351 1.3351 6.4062
Bi 4.0054 4.0054 1.7684

---

16
Lattice="7.7471 0.0000 0.0000 0.0000 7.7471 0.0000 0.0000 0.0000 7.7471" Properties=species:S:1:pos:R:3 comment="KInAgBi, relaxed, DFT PBE" relative_energy_ev_per_atom=0.008 spacegroup="F-43m, No. 216" e_form_ev_per_atom=-0.01 pbc="T T T"
K 0.0000 0.0000 0.0000
K 0.0000 3.8736 3.8736
K 3.8736 0.0000 3.8736
K 3.8736 3.8736 0.0000
In 1.9368 1.9368 1.9368
In 1.9368 5.8103 5.8103
In 5.8103 1.9368 5.8103
In 5.8103 5.8103 1.9368
Ag 1.9368 1.9368 5.8103
Ag 1.9368 5.8103 1.9368
Ag 5.8103 1.9368 1.9368
Ag 5.8103 5.8103 5.8103
Bi 0.0000 0.0000 3.8736
Bi 0.0000 3.8736 0.0000
Bi 3.8736 0.0000 0.0000
Bi 3.8736 3.8736 3.8736

---

16
Lattice="7.1589 0.0000 0.0000 0.0000 7.1589 0.0000 0.0000 0.0000 7.1589" Properties=species:S:1:pos:R:3 comment="LiInAgBi, relaxed, DFT PBE" spacegroup="F-43m, No. 216" e_form_ev_per_atom=-0.14 pbc="T T T"
Li 0.0000 0.0000 0.0000
Li 0.0000 3.5794 3.5794
Li 3.5794 0.0000 3.5794
Li 3.5794 3.5794 0.0000
In 1.7897 1.7897 1.7897
In 1.7897 5.3692 5.3692
In 5.3692 1.7897 5.3692
In 5.3692 5.3692 1.7897
Ag 0.0000 0.0000 3.5794
Ag 0.0000 3.5794 0.0000
Ag 3.5794 0.0000 0.0000
Ag 3.5794 3.5794 3.5794
Bi 1.7897 1.7897 5.3692
Bi 1.7897 5.3692 1.7897
Bi 5.3692 1.7897 1.7897
Bi 5.3692 5.3692 5.3692

---

14
Lattice="9.3692 0.0000 0.0000 0.0000 4.3542 0.0000 -0.9465 0.0000 7.2408" Properties=species:S:1:pos:R:3 comment="Li2In2Ag2Bi, relaxed, DFT PBE" spacegroup="C2/m, No. 12" e_form_ev_per_atom=-0.19 pbc="T T T"
Li 1.7898 0.0000 1.1674
Li 1.9483 2.1771 6.0735
Li 6.4744 2.1771 1.1674
Li 6.6329 0.0000 6.0735
In 0.1102 0.0000 5.0557
In 3.6279 2.1771 2.1851
In 4.7948 2.1771 5.0557
In 8.3125 0.0000 2.1851
Ag 0.9280 2.1771 3.1323
Ag 2.8101 0.0000 4.1086
Ag 5.6126 0.0000 3.1323
Ag 7.4947 2.1771 4.1086
Bi 0.0000 2.1771 0.0000
Bi 4.6846 0.0000 0.0000

---

5
Lattice="5.2161 0.0000 0.0000 0.0000 5.2161 0.0000 0.0000 0.0000 5.5083" Properties=species:S:1:pos:R:3 comment="In2AgBiO, relaxed, DFT PBE" spacegroup="P4/mmm, No. 123" pbc="T T T"
In 0.0000 2.6081 0.0000
In 2.6081 0.0000 0.0000
Ag 0.0000 0.0000 0.0000
Bi 0.0000 0.0000 2.7542
O 2.6081 2.6081 2.7542

---

5
Lattice="4.9549 0.0000 0.0000 0.0000 4.9549 0.0000 0.0000 0.0000 5.9727" Properties=species:S:1:pos:R:3 comment="InAgBiP2, relaxed, DFT PBE" spacegroup="P4/mmm, No. 123" e_form_ev_per_atom=1.10 pbc="T T T"
In 0.0000 0.0000 0.0000
Ag 2.4774 2.4774 2.9863
Bi 0.0000 0.0000 2.9863
P 0.0000 2.4774 0.0000
P 2.4774 0.0000 0.0000

---

5
Lattice="5.3313 0.0000 0.0000 0.0000 5.3313 0.0000 0.0000 0.0000 6.3764" Properties=species:S:1:pos:R:3 comment="InAg2BiPb, relaxed, DFT PBE" spacegroup="P4/mmm, No. 123" e_form_ev_per_atom=0.53 pbc="T T T"
In 0.0000 0.0000 0.0000
Ag 0.0000 2.6656 3.1882
Ag 2.6656 0.0000 3.1882
Bi 2.6656 2.6656 3.1882
Pb 2.6656 2.6656 0.0000

---

5
Lattice="5.6999 0.0000 0.0000 0.0000 5.6999 0.0000 0.0000 0.0000 5.0096" Properties=species:S:1:pos:R:3 comment="InAgBi2Pd, relaxed, DFT PBE" spacegroup="P4/mmm, No. 123" e_form_ev_per_atom=0.72 pbc="T T T"
In 0.0000 0.0000 0.0000
Ag 2.8499 2.8499 2.5048
Bi 0.0000 2.8499 0.0000
Bi 2.8499 0.0000 0.0000
Pd 0.0000 0.0000 2.5048

---

16
Lattice="7.0087 0.0000 0.0000 0.0000 7.0087 0.0000 0.0000 0.0000 7.0087" Properties=species:S:1:pos:R:3 comment="InAgBiPd, relaxed, DFT PBE" spacegroup="F-43m, No. 216" e_form_ev_per_atom=-0.07 pbc="T T T"
In 0.0000 0.0000 0.0000
In 0.0000 3.5043 3.5043
In 3.5043 0.0000 3.5043
In 3.5043 3.5043 0.0000
Ag 1.7522 1.7522 5.2565
Ag 1.7522 5.2565 1.7522
Ag 5.2565 1.7522 1.7522
Ag 5.2565 5.2565 5.2565
Bi 0.0000 0.0000 3.5043
Bi 0.0000 3.5043 0.0000
Bi 3.5043 0.0000 0.0000
Bi 3.5043 3.5043 3.5043
Pd 1.7522 1.7522 1.7522
Pd 1.7522 5.2565 5.2565
Pd 5.2565 1.7522 5.2565
Pd 5.2565 5.2565 1.7522

---

16
Lattice="7.6120 0.0000 0.0000 0.0000 7.6120 0.0000 0.0000 0.0000 7.6120" Properties=species:S:1:pos:R:3 comment="PmInAgBi, relaxed, DFT PBE" spacegroup="F-43m, No. 216" e_form_ev_per_atom=-0.21 pbc="T T T"
Pm 0.0000 0.0000 0.0000
Pm 0.0000 3.8060 3.8060
Pm 3.8060 0.0000 3.8060
Pm 3.8060 3.8060 0.0000
In 0.0000 0.0000 3.8060
In 0.0000 3.8060 0.0000
In 3.8060 0.0000 0.0000
In 3.8060 3.8060 3.8060
Ag 1.9030 1.9030 5.7090
Ag 1.9030 5.7090 1.9030
Ag 5.7090 1.9030 1.9030
Ag 5.7090 5.7090 5.7090
Bi 1.9030 1.9030 1.9030
Bi 1.9030 5.7090 5.7090
Bi 5.7090 1.9030 5.7090
Bi 5.7090 5.7090 1.9030

---

16
Lattice="7.4877 0.0000 0.0000 0.0000 7.4877 0.0000 0.0000 0.0000 7.4877" Properties=species:S:1:pos:R:3 comment="PuInAgBi, relaxed, DFT PBE" relative_energy_ev_per_atom=0.164 spacegroup="F-43m, No. 216" e_form_ev_per_atom=-0.02 pbc="T T T"
Pu 0.0000 0.0000 0.0000
Pu 0.0000 3.7438 3.7438
Pu 3.7438 0.0000 3.7438
Pu 3.7438 3.7438 0.0000
In 0.0000 0.0000 3.7438
In 0.0000 3.7438 0.0000
In 3.7438 0.0000 0.0000
In 3.7438 3.7438 3.7438
Ag 1.8719 1.8719 5.6157
Ag 1.8719 5.6157 1.8719
Ag 5.6157 1.8719 1.8719
Ag 5.6157 5.6157 5.6157
Bi 1.8719 1.8719 1.8719
Bi 1.8719 5.6157 5.6157
Bi 5.6157 1.8719 5.6157
Bi 5.6157 5.6157 1.8719

---

4
Lattice="4.4265 0.0000 0.0000 0.0000 4.6036 0.0000 0.0000 0.0000 5.0050" Properties=species:S:1:pos:R:3 comment="PuInAgBi, relaxed, DFT PBE" relative_energy_ev_per_atom=0.000 spacegroup="Pmmm, No. 47" e_form_ev_per_atom=-0.18 pbc="T T T"
Pu 0.0000 0.0000 0.0000
In 2.2133 0.0000 2.5025
Ag 0.0000 2.3018 2.5025
Bi 2.2133 2.3018 0.0000

---

| no. | energy (eV per atom) |
| --- | --- |
| 1 | -2.665 |
| 2 | -2.657 |
| 3 | -2.985 |
| 4 | -2.890 |
| 5 | -2.795 |
| 6 | -2.955 |
| 7 | -2.678 |
| 8 | -2.994 |
| 9 | -3.733 |
| 10 | -3.762 |
| 11 | -5.966 |
| 12 | -6.130 |